# PBE-GGA Li2IO4, relaxed
data_Li2IO4
_space_group_name_H-M_alt 'I 4/m m m'
_space_group_IT_number 139
_space_group_name_Hall '-I 4 2'
_cell_length_a 4.066
_cell_length_b 4.066
_cell_length_c 10.988
_cell_angle_alpha 90.00
_cell_angle_beta 90.00
_cell_angle_gamma 90.00
loop_
_atom_site_label
_atom_site_fract_x
_atom_site_fract_y
_atom_site_fract_z
Li1 0.000 0.000 0.158
I1 0.000 0.000 0.500
O1 0.000 0.000 0.328
O2 0.000 0.500 0.000
# Raw formation energy: -0.8196 eV/atom
# Total DFT energy (no corrections): -4.421 eV/atom
# ΔE to the lowest computed polymorph: 191 meV/atom
# ρ: 3.7 g/cm³
# Magnetization: 0.00 μB per atom

# PBE-GGA YHg2Cl, relaxed
data_YHg2Cl
_space_group_name_H-M_alt 'R -3 m'
_space_group_IT_number 166
_space_group_name_Hall '-R 3 2"'
_cell_length_a 3.6669
_cell_length_b 3.6669
_cell_length_c 27.1519
_cell_angle_alpha 90.00
_cell_angle_beta 90.00
_cell_angle_gamma 120.00
loop_
_atom_site_label
_atom_site_fract_x
_atom_site_fract_y
_atom_site_fract_z
Y1 0.0000 0.0000 0.0000
Hg1 0.0000 0.0000 0.2457
Cl1 0.0000 0.0000 0.5000
# Raw formation energy: -0.4376 eV/atom
# Total DFT energy (no corrections): -2.666 eV/atom
# ΔE to the lowest computed polymorph: 273 meV/atom
# ρ: 8.3 g/cm³
# Magnetization: 0.00 μB per atom